SmScNi | PBE | optimized geometry

Summary:
Energy of formation from the pure elements   0.612 eV/atom
Size of the total moment   0.00 μB/f.u.
E_tot   -14.77 eV for the cell shown

Structure (POSCAR):
```
SmScNi
1.0
-2.1673 1.3208 3.7932
-4.3046 1.4982 -0.2355
-3.3955 -2.5388 1.6896
Sc Sm Ni
1 1 1
direct
0.7500 0.7500 0.7500
0.0000 0.0000 0.0000
0.2500 0.2500 0.2500
```